DFT (PBEsol) results for a relaxed structure of Co5Os.

POSCAR file:
```
Co5Os
1.0
2.534 0.000 0.000
-1.267 4.535 0.006
0.000 -1.475 5.693
Os Co
1 5
direct
0.721 0.442 0.943
0.999 0.997 0.004
0.392 0.783 0.283
0.668 0.336 0.338
0.053 0.105 0.604
0.335 0.670 0.662
```

energy above the most stable polymorph in this dataset: 9 meV/atom
formation energy: 0.08 eV/atom
V: 10.9 Å³/atom
space-group type: Cm (8)



DFT (PBEsol) results for a relaxed structure of CoOs4.

POSCAR file:
```
CoOs4
1.0
-2.363 -2.094 2.039
1.873 -3.860 1.669
-0.017 1.018 4.490
Co Os
1 4
direct
0.000 0.000 0.000
0.795 0.610 0.799
0.205 0.390 0.201
0.594 0.201 0.610
0.406 0.799 0.390
```

formation energy: 0.14 eV/atom
V: 13.3 Å³/atom
space-group type: I4/m (87)



DFT (PBEsol) results for a relaxed structure of Co2Os.

POSCAR file:
```
Co2Os
1.0
4.650 0.045 0.000
-2.171 4.113 0.000
-1.240 -2.079 3.971
Co Os
4 2
direct
0.136 0.636 0.772
0.636 0.864 0.500
0.364 0.136 0.500
0.864 0.364 0.228
0.750 0.750 0.000
0.250 0.250 0.000
```

energy above the most stable polymorph in this dataset: 542 meV/atom
formation energy: 0.60 eV/atom
V: 12.7 Å³/atom
space-group type: I4/mcm (140)



DFT (PBEsol) results for a relaxed structure of Co2Os.

POSCAR file:
```
Co2Os
1.0
-2.505 1.274 2.190
-2.393 -2.216 -1.448
0.068 -4.836 2.890
Co Os
4 2
direct
0.250 0.579 0.842
0.750 0.421 0.158
0.250 0.253 0.494
0.750 0.747 0.506
0.250 0.912 0.177
0.750 0.088 0.823
```

energy above the most stable polymorph in this dataset: 56 meV/atom
formation energy: 0.11 eV/atom
V: 11.3 Å³/atom
space-group type: Cmcm (63)



DFT (PBEsol) results for a relaxed structure of Co5Os.

POSCAR file:
```
Co5Os
1.0
2.528 0.000 0.000
0.000 3.999 0.000
-1.265 0.000 6.481
Os Co
1 5
direct
0.889 0.500 0.778
0.004 0.000 0.008
0.667 0.000 0.334
0.330 0.000 0.660
0.559 0.500 0.117
0.218 0.500 0.436
```

energy above the most stable polymorph in this dataset: 0 meV/atom
formation energy: 0.07 eV/atom
V: 10.9 Å³/atom
space-group type: Amm2 (38)



DFT (PBEsol) results for a relaxed structure of Co2Os.

POSCAR file:
```
Co2Os
1.0
-0.006 -2.563 -0.045
3.342 0.032 -2.232
3.663 1.176 5.502
Os Co
2 4
direct
0.386 0.750 0.773
0.614 0.250 0.227
0.722 0.750 0.445
0.947 0.250 0.894
0.053 0.750 0.106
0.278 0.250 0.555
```

energy above the most stable polymorph in this dataset: 0 meV/atom
formation energy: 0.06 eV/atom
V: 11.3 Å³/atom
space-group type: Cmcm (63)



DFT (PBEsol) results for a relaxed structure of CoP2Os.

POSCAR file:
```
CoP2Os
1.0
-0.540 1.664 2.384
-3.931 -0.458 -0.572
0.048 -3.274 2.296
Co Os P
1 1 2
direct
0.500 0.500 0.500
0.500 0.000 0.000
0.000 0.000 0.500
0.000 0.500 0.000
```

energy above the most stable polymorph in this dataset: 231 meV/atom
formation energy: -0.01 eV/atom
V: 11.8 Å³/atom
space-group type: P4/mmm (123)



DFT (PBEsol) results for a relaxed structure of CoP3Os.

POSCAR file:
```
CoP3Os
1.0
-2.734 2.282 -2.178
0.974 -2.131 -3.455
-3.000 -2.771 0.864
Co Os P
1 1 3
direct
0.000 0.000 0.000
0.500 0.500 0.500
0.000 0.500 0.000
0.000 0.000 0.500
0.500 0.000 0.000
```

energy above the most stable polymorph in this dataset: 0 meV/atom
formation energy: 0.89 eV/atom
V: 14.6 Å³/atom
space-group type: Pm-3m (221)



DFT (PBEsol) results for a relaxed structure of CoP2Os.

POSCAR file:
```
CoP2Os
1.0
4.080 0.000 0.000
2.040 3.533 0.000
2.040 1.178 3.331
Co Os P
1 1 2
direct
0.000 0.000 0.000
0.500 0.500 0.500
0.250 0.250 0.250
0.750 0.750 0.750
```

energy above the most stable polymorph in this dataset: 195 meV/atom
formation energy: -0.05 eV/atom
V: 12.0 Å³/atom
space-group type: Fm-3m (225)



DFT (PBEsol) results for a relaxed structure of CoP2Os.

POSCAR file:
```
CoP2Os
1.0
5.023 0.000 0.000
0.000 5.023 0.000
-2.511 -2.511 5.101
Co Os P
2 2 4
direct
0.750 0.250 0.500
0.500 0.500 0.000
0.250 0.750 0.500
0.000 0.000 0.000
0.394 0.875 0.250
0.856 0.375 0.250
0.125 0.144 0.750
0.625 0.606 0.750
```

energy above the most stable polymorph in this dataset: 149 meV/atom
formation energy: -0.09 eV/atom
V: 16.1 Å³/atom
space-group type: I-42d (122)



DFT (PBEsol) results for a relaxed structure of CoP2Os.

POSCAR file:
```
CoP2Os
1.0
3.427 0.000 0.000
0.000 3.427 0.000
-1.713 -1.713 4.119
Co Os P
1 1 2
direct
0.500 0.500 0.000
0.250 0.750 0.500
0.000 0.000 0.000
0.750 0.250 0.500
```

energy above the most stable polymorph in this dataset: 434 meV/atom
formation energy: 0.19 eV/atom
V: 12.1 Å³/atom
space-group type: I-4m2 (119)



DFT (PBEsol) results for a relaxed structure of Co2POs.

POSCAR file:
```
Co2POs
1.0
3.497 0.000 0.000
0.000 3.497 0.000
-1.748 -1.748 3.650
Co Os P
2 1 1
direct
0.750 0.250 0.500
0.250 0.750 0.500
0.500 0.500 0.000
0.000 0.000 0.000
```

formation energy: 0.05 eV/atom
V: 11.2 Å³/atom
space-group type: I4/mmm (139)



What did we get for DFT total energy? Answer: -8.3999, -11.1822, -8.6314, -9.1177, -8.4092, -9.1735, -7.8938, -6.5770, -7.9292, -7.9755, -7.6907, -8.3181 eV/atom, in the order shown.